1.
A plane-wave DFT calculation with PBE was carried out for LiHgIrF6 after structural relaxation.

Results
As for the density: 6.8 Mg/m³. The value obtained for the raw total energy is -4.217 eV/atom. For the formation energy (no corrections), the calculation gives -1.7383 eV per atom. Its size of the total moment is 0.0135 μB per atom.

abc: 5.322 5.322 10.258
angles: 90.00 90.00 120.00
Atoms (fractional coordinates):
Li (0.333, 0.667, 0.250)
Li (0.667, 0.333, 0.750)
Hg (0.000, 0.000, 0.000)
Hg (0.000, 0.000, 0.500)
Ir (0.667, 0.333, 0.250)
Ir (0.333, 0.667, 0.750)
F (0.644, 0.637, 0.141)
F (0.993, 0.356, 0.141)
F (0.356, 0.993, 0.641)
F (0.007, 0.644, 0.859)
F (0.363, 0.356, 0.359)
F (0.993, 0.637, 0.359)
F (0.637, 0.993, 0.859)
F (0.644, 0.007, 0.359)
F (0.007, 0.363, 0.641)
F (0.363, 0.007, 0.141)
F (0.637, 0.644, 0.641)
F (0.356, 0.363, 0.859)

***

2.
A plane-wave DFT calculation with PBE was carried out for In2FeTcSb after structural relaxation.

Results
As for the density: 6.7 Mg/m³. The value obtained for the raw total energy is -4.863 eV/atom. For the formation energy (no corrections), the calculation gives 0.8228 eV per atom. Its size of the total moment is 0.3947 μB per atom.

abc: 5.219 4.588 5.219
angles: 90.00 90.00 90.00
Atoms (fractional coordinates):
Fe (0.000, 0.500, 0.000)
Sb (0.500, 0.500, 0.500)
Tc (0.000, 0.000, 0.000)
In (0.000, 0.000, 0.500)
In (0.500, 0.000, 0.000)

***

3.
A plane-wave DFT calculation with PBE was carried out for Pm2Nd2Sm5 after structural relaxation.

Results
As for the density: 7.1 Mg/m³. Its excess energy over the best structure of this formula in the dataset is 0 meV/atom. The value obtained for the raw total energy is -4.602 eV/atom. Its size of the total moment is 0.0000 μB per atom.

abc: 3.533 9.983 12.493
angles: 133.69 98.13 90.00
Atoms (fractional coordinates):
Pm (0.837, 0.901, 0.674)
Pm (0.163, 0.099, 0.326)
Nd (0.495, 0.678, 0.991)
Nd (0.505, 0.322, 0.009)
Sm (0.671, 0.802, 0.342)
Sm (0.329, 0.198, 0.658)
Sm (0.824, 0.518, 0.648)
Sm (0.176, 0.482, 0.352)
Sm (0.000, 0.000, 0.000)

***

4.
A plane-wave DFT calculation with PBE was carried out for Dy12Al3Tl5 after structural relaxation.

Results
As for the density: 7.3 Mg/m³. The value obtained for the raw total energy is -3.666 eV/atom. Its size of the total moment is 0.0000 μB per atom.

abc: 15.330 15.330 15.330
angles: 109.47 109.47 109.47
Atoms (fractional coordinates):
Al (0.750, 0.375, 0.125)
Al (0.875, 0.750, 0.125)
Al (0.375, 0.750, 0.625)
Al (0.250, 0.125, 0.375)
Al (0.875, 0.125, 0.250)
Al (0.375, 0.625, 0.250)
Al (0.625, 0.375, 0.750)
Al (0.125, 0.875, 0.750)
Al (0.750, 0.875, 0.625)
Al (0.625, 0.250, 0.375)
Al (0.125, 0.250, 0.875)
Al (0.250, 0.625, 0.875)
Tl (0.125, 0.375, 0.250)
Tl (0.000, 0.500, 0.000)
Tl (0.000, 0.000, 0.000)
Tl (0.375, 0.250, 0.125)
Tl (0.500, 0.000, 0.500)
Tl (0.500, 0.500, 0.000)
Tl (0.125, 0.750, 0.375)
Tl (0.750, 0.125, 0.875)
Tl (0.750, 0.625, 0.375)
Tl (0.375, 0.125, 0.750)
Tl (0.625, 0.875, 0.250)
Tl (0.500, 0.500, 0.500)
Tl (0.500, 0.000, 0.000)
Tl (0.000, 0.000, 0.500)
Tl (0.250, 0.375, 0.625)
Tl (0.250, 0.875, 0.125)
Tl (0.000, 0.500, 0.500)
Tl (0.875, 0.250, 0.625)
Tl (0.625, 0.750, 0.875)
Tl (0.875, 0.625, 0.750)
Dy (0.727, 0.136, 0.063)
Dy (0.337, 0.563, 0.427)
Dy (0.937, 0.364, 0.273)
Dy (0.563, 0.227, 0.136)
Dy (0.590, 0.727, 0.663)
Dy (0.937, 0.573, 0.163)
Dy (0.337, 0.773, 0.410)
Dy (0.073, 0.910, 0.136)
Dy (0.573, 0.937, 0.663)
Dy (0.727, 0.590, 0.163)
Dy (0.773, 0.437, 0.364)
Dy (0.837, 0.927, 0.063)
Dy (0.136, 0.727, 0.563)
Dy (0.364, 0.427, 0.090)
Dy (0.090, 0.927, 0.364)
Dy (0.410, 0.136, 0.573)
Dy (0.090, 0.163, 0.227)
Dy (0.437, 0.663, 0.073)
Dy (0.837, 0.910, 0.273)
Dy (0.136, 0.410, 0.073)
Dy (0.364, 0.937, 0.773)
Dy (0.573, 0.636, 0.410)
Dy (0.927, 0.837, 0.563)
Dy (0.773, 0.337, 0.910)
Dy (0.427, 0.364, 0.590)
Dy (0.073, 0.163, 0.437)
Dy (0.227, 0.663, 0.090)
Dy (0.163, 0.090, 0.727)
Dy (0.636, 0.063, 0.227)
Dy (0.864, 0.590, 0.927)
Dy (0.563, 0.337, 0.927)
Dy (0.590, 0.864, 0.427)
Dy (0.910, 0.837, 0.773)
Dy (0.910, 0.073, 0.636)
Dy (0.864, 0.273, 0.437)
Dy (0.163, 0.073, 0.937)
Dy (0.636, 0.573, 0.910)
Dy (0.427, 0.063, 0.337)
Dy (0.273, 0.410, 0.837)
Dy (0.227, 0.563, 0.636)
Dy (0.927, 0.090, 0.864)
Dy (0.663, 0.227, 0.590)
Dy (0.437, 0.773, 0.864)
Dy (0.063, 0.427, 0.837)
Dy (0.410, 0.273, 0.337)
Dy (0.063, 0.636, 0.727)
Dy (0.663, 0.437, 0.573)
Dy (0.273, 0.864, 0.937)

***

5.
A plane-wave DFT calculation with PBE was carried out for CsYCoMo2 after structural relaxation.

Results
As for the density: 6.7 Mg/m³. The value obtained for the raw total energy is -4.824 eV/atom. Its size of the total moment is 0.5945 μB per atom.

abc: 5.017 4.677 5.017
angles: 90.00 90.00 90.00
Atoms (fractional coordinates):
Cs (0.000, 0.000, 0.000)
Y (0.500, 0.500, 0.500)
Mo (0.000, 0.000, 0.500)
Mo (0.500, 0.000, 0.000)
Co (0.000, 0.500, 0.000)

***

6.
A plane-wave DFT calculation with PBE was carried out for MgZrPt2 after structural relaxation.

Results
As for the density: 12.0 Mg/m³. The value obtained for the raw total energy is -6.500 eV/atom. Its size of the total moment is 0.0001 μB per atom.

abc: 2.975 3.563 6.589
angles: 90.00 90.00 90.00
Atoms (fractional coordinates):
Mg (0.500, 0.500, 0.750)
Zr (0.500, 0.500, 0.250)
Pt (0.000, 0.000, 0.990)
Pt (0.000, 0.000, 0.510)